This record from the Alexandria database describes crystalline SrUIn2O8 at its relaxed geometry. The functional is PBE.

Structure (POSCAR):
```
SrUIn2O8
1.0
-0.707 0.594 5.061
1.863 -4.322 0.907
6.512 2.926 0.566
O In U Sr
8 2 1 1
Cartesian
1.211 0.104 4.613 O
6.457 -0.905 1.921 O
6.768 1.980 2.511 O
4.980 1.797 4.940 O
2.688 -2.599 1.593 O
3.412 0.630 2.790 O
0.900 -2.781 4.023 O
4.256 -1.432 3.744 O
5.538 0.365 3.415 In
2.130 -1.167 3.119 In
0.000 0.000 0.000 U
3.256 1.463 0.283 Sr
```

Values from the calculation:
**Raw formation energy**: -1.997 eV/atom
**Calculated volume**: 14.709 Å³ per atom
**Mass density**: 6.43 g/cm3
**Crystal system**: monoclinic
**DOS(E_F)**: 0.834 states/eV/atom